Computed, not measured: a relaxed structure of Zn4As2O9 at the PBE-GGA level of DFT.

Cell lengths 8.378, 9.923, 10.136 Å; angles 116.19, 90.00, 90.00 degrees
Fractional coordinates of all 60 atoms:
O: 0.331 0.200 0.593
O: 0.668 0.642 0.886
O: 0.159 0.330 0.884
O: 0.980 0.238 0.195
O: 0.168 0.858 0.614
O: 0.500 0.613 0.136
O: 0.341 0.830 0.384
O: 0.659 0.170 0.616
O: 0.974 0.937 0.113
O: 0.173 0.487 0.492
O: 0.673 0.013 0.008
O: 0.480 0.262 0.305
O: 0.827 0.513 0.508
O: 0.526 0.437 0.613
O: 0.573 0.910 0.216
O: 0.474 0.563 0.387
O: 0.500 0.387 0.864
O: 0.169 0.700 0.093
O: 0.020 0.762 0.805
O: 0.520 0.738 0.695
O: 0.026 0.063 0.887
O: 0.669 0.800 0.407
O: 0.000 0.887 0.364
O: 0.324 0.626 0.849
O: 0.000 0.113 0.636
O: 0.831 0.300 0.907
O: 0.841 0.670 0.116
O: 0.327 0.987 0.992
O: 0.927 0.410 0.716
O: 0.073 0.590 0.284
O: 0.427 0.090 0.784
O: 0.332 0.358 0.114
O: 0.824 0.874 0.651
O: 0.676 0.374 0.151
O: 0.176 0.126 0.349
O: 0.832 0.142 0.386
Zn: 0.480 0.054 0.154
Zn: 0.256 0.663 0.455
Zn: 0.744 0.337 0.545
Zn: 0.756 0.837 0.045
Zn: 0.692 0.489 0.006
Zn: 0.308 0.511 0.994
Zn: 0.319 0.325 0.477
Zn: 0.244 0.163 0.955
Zn: 0.980 0.446 0.346
Zn: 0.520 0.946 0.846
Zn: 0.192 0.011 0.494
Zn: 0.020 0.554 0.654
Zn: 0.181 0.825 0.977
Zn: 0.681 0.675 0.523
Zn: 0.808 0.989 0.506
Zn: 0.819 0.175 0.023
As: 0.992 0.107 0.268
As: 0.016 0.714 0.214
As: 0.508 0.607 0.768
As: 0.484 0.214 0.714
As: 0.516 0.786 0.286
As: 0.984 0.286 0.786
As: 0.008 0.893 0.732
As: 0.492 0.393 0.232

Values from the calculation:
The magnetization is 0.000 μB per formula unit. The calculation puts the total energy at -5.279 eV/atom. Its formation energy (no corrections) is -1.3446 eV per atom.



Computed, not measured: a relaxed structure of Nb6BiS8 at the PBE-GGA level of DFT.

Cell lengths 9.690, 9.690, 3.382 Å; angles 90.00, 90.00, 120.00 degrees
Fractional coordinates of all 15 atoms:
S: 0.333 0.667 0.750
S: 0.714 0.055 0.750
S: 0.286 0.945 0.250
S: 0.341 0.286 0.750
S: 0.659 0.714 0.250
S: 0.945 0.659 0.750
S: 0.055 0.341 0.250
S: 0.667 0.333 0.250
Bi: 0.000 0.000 0.500
Nb: 0.487 0.114 0.749
Nb: 0.513 0.886 0.251
Nb: 0.627 0.513 0.749
Nb: 0.114 0.627 0.251
Nb: 0.886 0.373 0.749
Nb: 0.373 0.487 0.251

Values from the calculation:
The magnetization is 0.000 μB per formula unit. The calculation puts the total energy at -7.442 eV/atom. Its formation energy (no corrections) is -0.9544 eV per atom.



Computed, not measured: a relaxed structure of PrY5As6 at the PBE-GGA level of DFT.

Cell lengths 7.199, 7.202, 7.200 Å; angles 59.99, 80.39, 70.50 degrees
Fractional coordinates of all 12 atoms:
As: 0.746 0.424 0.661
As: 0.254 0.576 0.339
As: 0.747 0.745 0.000
As: 0.746 0.085 0.339
As: 0.253 0.255 0.000
As: 0.254 0.915 0.661
Pr: 0.000 0.000 0.000
Y: 0.500 0.165 0.670
Y: 0.500 0.500 0.000
Y: 0.000 0.333 0.334
Y: 0.000 0.667 0.666
Y: 0.500 0.835 0.330

Values from the calculation:
The magnetization is 0.000 μB per formula unit. The calculation puts the total energy at -6.958 eV/atom.



Computed, not measured: a relaxed structure of KLiPu2O4 at the PBE-GGA level of DFT.

Cell lengths 3.555, 6.164, 11.713 Å; angles 90.00, 90.00, 106.76 degrees
Last column: magnetic moment on the atom in μB.
Fractional coordinates of all 16 atoms:
Li: 0.821 0.642 0.750  0.01
Li: 0.179 0.358 0.250  0.01
O: 0.251 0.502 0.398  -0.10
O: 0.000 0.000 0.500  -0.12
O: 0.749 0.498 0.602  -0.10
O: 0.598 0.196 0.250  -0.07
O: 0.000 0.000 0.000  -0.12
O: 0.749 0.498 0.898  -0.10
O: 0.251 0.502 0.102  -0.10
O: 0.402 0.804 0.750  -0.07
K: 0.096 0.191 0.750  0.01
K: 0.904 0.809 0.250  0.01
Pu: 0.632 0.264 0.056  4.99
Pu: 0.368 0.736 0.944  4.99
Pu: 0.632 0.264 0.444  4.99
Pu: 0.368 0.736 0.556  4.99

Values from the calculation:
The magnetization is 10.000 μB per formula unit. The calculation puts the total energy at -8.924 eV/atom. Its formation energy (no corrections) is -2.4853 eV per atom.



Computed, not measured: a relaxed structure of Pm6Ge2BiS3 at the PBE-GGA level of DFT.

Cell lengths 4.228, 8.446, 9.406 Å; angles 102.07, 102.99, 90.00 degrees
Fractional coordinates of all 12 atoms:
Pm: 0.668 0.584 0.336
Pm: 0.332 0.416 0.664
Pm: 0.674 0.092 0.348
Pm: 0.326 0.908 0.652
Pm: 0.002 0.270 0.004
Pm: 0.998 0.730 0.996
S: 0.500 0.500 0.000
S: 0.835 0.166 0.669
S: 0.165 0.834 0.331
Ge: 0.833 0.665 0.666
Ge: 0.167 0.335 0.334
Bi: 0.500 0.000 0.000

Values from the calculation:
The magnetization is 0.000 μB per formula unit. The calculation puts the total energy at -5.944 eV/atom. Its formation energy (no corrections) is -1.4442 eV per atom.



Computed, not measured: a relaxed structure of SnP2OsO at the PBE-GGA level of DFT.

Cell lengths 4.891, 4.891, 3.696 Å; angles 90.00, 90.00, 90.00 degrees
Fractional coordinates of all 5 atoms:
P: 0.000 0.500 0.000
P: 0.500 0.000 0.000
O: 0.000 0.000 0.500
Os: 0.000 0.000 0.000
Sn: 0.500 0.500 0.500

Values from the calculation:
The magnetization is 0.000 μB per formula unit. The calculation puts the total energy at -6.146 eV/atom. Its formation energy (no corrections) is 0.0558 eV per atom. The value obtained for the energy above the most stable polymorph in this dataset is 0 meV/atom.



Computed, not measured: a relaxed structure of CsCdGe3 at the PBE-GGA level of DFT.

Cell lengths 5.792, 5.792, 5.792 Å; angles 90.00, 90.00, 90.00 degrees
Fractional coordinates of all 5 atoms:
Ge: 0.500 0.000 0.000
Ge: 0.000 0.000 0.500
Ge: 0.000 0.500 0.000
Cd: 0.500 0.500 0.500
Cs: 0.000 0.000 0.000

Values from the calculation:
The magnetization is 0.000 μB per formula unit. The calculation puts the total energy at -1.371 eV/atom. The value obtained for the energy above the most stable polymorph in this dataset is 1120 meV/atom.



Computed, not measured: a relaxed structure of Sm3Dy6YEr2 at the PBE-GGA level of DFT.

Cell lengths 6.167, 6.167, 11.795 Å; angles 94.98, 94.98, 119.96 degrees
Fractional coordinates of all 12 atoms:
Sm: 0.167 0.833 0.500
Sm: 0.500 0.500 0.500
Sm: 0.833 0.167 0.500
Er: 0.667 0.333 0.000
Er: 0.333 0.667 0.000
Dy: 0.749 0.749 0.247
Dy: 0.417 0.083 0.247
Dy: 0.251 0.251 0.753
Dy: 0.917 0.583 0.753
Dy: 0.583 0.917 0.753
Dy: 0.083 0.417 0.247
Y: 0.000 0.000 0.000

Values from the calculation:
The magnetization is 0.000 μB per formula unit. The calculation puts the total energy at -4.762 eV/atom.



What did the eighth record say?
Computed, not measured: a relaxed structure of Sm3Dy6YEr2 at the PBE-GGA level of DFT.

Cell lengths 6.167, 6.167, 11.795 Å; angles 94.98, 94.98, 119.96 degrees
Fractional coordinates of all 12 atoms:
Sm: 0.167 0.833 0.500
Sm: 0.500 0.500 0.500
Sm: 0.833 0.167 0.500
Er: 0.667 0.333 0.000
Er: 0.333 0.667 0.000
Dy: 0.749 0.749 0.247
Dy: 0.417 0.083 0.247
Dy: 0.251 0.251 0.753
Dy: 0.917 0.583 0.753
Dy: 0.583 0.917 0.753
Dy: 0.083 0.417 0.247
Y: 0.000 0.000 0.000

Values from the calculation:
The magnetization is 0.000 μB per formula unit. The calculation puts the total energy at -4.762 eV/atom.